A relaxed Y2OsPt crystal, computed with PBE.

Output
raw total energy = -122.527 eV per cell
calculated volume = 315.1 Å³ per cell
N(E_F) = 4.83 states/eV/f.u.

Cell: 6.8049 6.8049 6.8049 Å, 90.00 90.00 90.00°
Last column: nearest neighbours and their distance in Å.
Space group F-43m (No. 216)
One atom of each set of equivalent atoms:
Y (0.0000, 0.0000, 0.0000) [4 per cell]  4 Pt 2.95, 4 Y 2.95
Y (0.2500, 0.2500, 0.2500) [4 per cell]  4 Os 2.95, 4 Y 2.95
Os (0.0000, 0.0000, 0.5000) [4 per cell]  4 Pt 2.95, 4 Y 2.95
Pt (0.2500, 0.2500, 0.7500) [4 per cell]  4 Os 2.95, 4 Y 2.95

=====

A relaxed NaTmAgGe crystal, computed with PBE.

Output
raw total energy = -57.496 eV per cell
calculated volume = 344.0 Å³ per cell
N(E_F) = 2.01 states/eV/f.u.

Cell: 7.0065 7.0065 7.0065 Å, 90.00 90.00 90.00°
Last column: nearest neighbours and their distance in Å.
Space group F-43m (No. 216)
One atom of each set of equivalent atoms:
Na (0.0000, 0.0000, 0.0000) [4 per cell]  4 Ge 3.03, 4 Ag 3.03
Tm (0.0000, 0.0000, 0.5000) [4 per cell]  4 Ge 3.03, 4 Ag 3.03
Ag (0.2500, 0.2500, 0.2500) [4 per cell]  4 Na 3.03, 4 Tm 3.03
Ge (0.2500, 0.2500, 0.7500) [4 per cell]  4 Na 3.03, 4 Tm 3.03

=====

A relaxed RbBaCd2Pd crystal, computed with PBE.

Output
raw total energy = -10.908 eV per cell
calculated volume = 178.9 Å³ per cell
N(E_F) = 2.74 states/eV/f.u.

Cell: 5.5509 5.5509 5.8060 Å, 90.00 90.00 90.00°
Last column: nearest neighbours and their distance in Å.
Space group P4/mmm (No. 123)
One atom of each set of equivalent atoms:
Rb (0.0000, 0.0000, 0.0000) [1 per cell]  4 Ba 3.93, 8 Cd 4.02
Ba (0.5000, 0.5000, 0.0000) [1 per cell]  2 Pd 2.90
Cd (0.0000, 0.5000, 0.5000) [2 per cell]  2 Pd 2.78
Pd (0.5000, 0.5000, 0.5000) [1 per cell]  4 Cd 2.78, 2 Ba 2.90

=====

A relaxed SrZr2Hg crystal, computed with PBE.

Output
raw total energy = -53.278 eV per cell
calculated volume = 322.3 Å³ per cell
N(E_F) = 5.66 states/eV/f.u.

Cell: 3.3612 3.3612 32.9366 Å, 90.00 90.00 120.00°
Last column: nearest neighbours and their distance in Å.
Space group R-3m (No. 166, hexagonal axes)
One atom of each set of equivalent atoms:
Sr (0.0000, 0.0000, 0.0000) [3 per cell]  6 Sr 3.36, 6 Zr 3.65
Zr (0.0000, 0.0000, 0.2394) [6 per cell]  3 Hg 3.08, 6 Zr 3.36
Hg (0.0000, 0.0000, 0.5000) [3 per cell]  6 Zr 3.08, 6 Hg 3.36

=====

The highest raw total energy belongs to which entry?
RbBaCd2Pd

=====

raw total energy of number 2 (NaTmAgGe)?
-57.496 eV per cell